# Tm7Pd2Pb2

A geometry-optimized Tm7Pd2Pb2 structure (PBE, the Alexandria database).

Results
E: -4.8220 eV per atom
energy relative to the elements: -0.36 eV per atom
energy above the lowest structure with this stoichiometry: 173 meV/atom
spin magnetization: 0.000 μB per cell
D(E_F): 18.3 states/eV/cell

Cell: 8.2872 10.8958 7.0751 Å, 90.00 90.00 90.00°
Last column: nearest neighbours and their distance in Å.
Space group Cmmm (No. 65)
One atom of each set of equivalent atoms:
Tm: 0.0000 0.0000 0.0000 x2  2 Pd 3.10
Tm: 0.0000 0.5000 0.2358 x4  2 Pd 2.88, 2 Pb 3.19
Tm: 0.2500 0.2500 0.2480 x8  2 Pd 2.74
Pd: 0.0000 0.2848 0.0000 x4  6 Tm 2.74-2.88
Pb: 0.1880 0.0000 0.5000 x4  1 Pb 3.12, 6 Tm 3.19-3.30